(1)
The following is a PBE calculation of an optimized crystal structure of Ca2TcP, from the Alexandria database.

The structure in POSCAR format:
```
Ca2TcP
1.0
-2.5245 7.4920 6.6548
0.3132 -6.8004 7.7747
1.0590 0.7998 7.5247
P Ca Tc
2 4 2
Direct
0.5000 0.5000 0.0000
0.2500 0.7500 0.5000
0.4612 0.1250 0.2500
0.2888 0.6250 0.2500
0.3750 0.5388 0.7500
0.8750 0.7112 0.7500
0.0000 0.0000 0.0000
0.7500 0.2500 0.5000
```

Computed properties:
Energy relative to the elements ... -21 kJ/mol of formula units
Space group ... I-42d, No. 122

(2)
The following is a PBE calculation of an optimized crystal structure of Ca2TcP, from the Alexandria database.

The structure in POSCAR format:
```
Ca2TcP
1.0
-1.8402 3.5255 -0.2578
-3.3429 -1.5563 2.5782
0.9021 0.8825 5.6284
Ca P Tc
2 1 1
Direct
0.0000 0.9785 0.9179
0.5000 0.2661 0.3426
0.0000 0.6803 0.5150
0.5000 0.5751 0.7245
```

Computed properties:
Energy relative to the elements ... -140 kJ/mol of formula units
Space group ... Amm2, No. 38

(3)
The following is a PBE calculation of an optimized crystal structure of Ca2TcP, from the Alexandria database.

The structure in POSCAR format:
```
Ca2TcP
1.0
3.0770 0.0272 0.0000
-0.0300 3.0770 0.0000
0.0000 0.0000 8.6788
Ca P Tc
2 1 1
Direct
0.0000 0.0000 0.0173
0.0000 0.0000 0.4827
0.5000 0.5000 0.2500
0.5000 0.5000 0.7500
```

Computed properties:
Energy relative to the elements ... 40 kJ/mol of formula units
Space group ... P4/mmm, No. 123

(4)
The following is a PBE calculation of an optimized crystal structure of Ca2TcP, from the Alexandria database.

The structure in POSCAR format:
```
Ca2TcP
1.0
6.9597 0.0007 0.0024
-2.8406 4.4796 0.0135
1.2786 0.8030 2.5740
Ca P Tc
2 1 1
Direct
0.0000 0.0000 0.0000
0.5000 0.0000 0.5000
0.0000 0.5000 0.5000
0.5000 0.5000 0.0000
```

Computed properties:
Energy relative to the elements ... 56 kJ/mol of formula units
Space group ... Cmmm, No. 65

(5)
The following is a PBE calculation of an optimized crystal structure of Ca2TcP, from the Alexandria database.

The structure in POSCAR format:
```
Ca2TcP
1.0
-1.7380 2.4883 5.1071
1.7380 -2.4883 5.1071
1.7380 2.4883 -5.1071
Ca Tc P
2 1 1
Direct
0.9936 0.9936 0.0000
0.2952 0.7952 0.5000
0.6788 0.1788 0.5000
0.5324 0.5324 0.0000
```

Computed properties:
Energy relative to the elements ... -101 kJ/mol of formula units
Space group ... Imm2, No. 44

(6)
The following is a PBE calculation of an optimized crystal structure of Ca2TcP, from the Alexandria database.

The structure in POSCAR format:
```
Ca2TcP
1.0
4.7238 -0.5807 0.0000
0.6227 4.7185 0.0000
-2.6732 -2.0689 3.3504
Ca P Tc
2 1 1
Direct
0.0000 0.0000 0.0000
0.2500 0.7500 0.5000
0.5000 0.5000 0.0000
0.7500 0.2500 0.5000
```

Computed properties:
Energy relative to the elements ... 71 kJ/mol of formula units
Space group ... I-4m2, No. 119

(7)
The following is a PBE calculation of an optimized crystal structure of Ca2TcP, from the Alexandria database.

The structure in POSCAR format:
```
Ca2TcP
1.0
-4.9781 -6.0138 1.7448
-3.1626 -5.1617 5.2294
-6.2778 -2.9426 3.9903
Ca P Tc
2 1 1
Direct
0.0352 0.0352 0.0352
0.2149 0.2149 0.2149
0.4580 0.4580 0.4580
0.7919 0.7919 0.7919
```

Computed properties:
Energy relative to the elements ... -158 kJ/mol of formula units
Space group ... R3m, No. 160

(8)
The following is a PBE calculation of an optimized crystal structure of CaTiTcP2, from the Alexandria database.

The structure in POSCAR format:
```
CaTiTcP2
1.0
4.0004 0.0000 0.0000
0.0000 4.0004 0.0000
-2.0002 -2.0002 5.3212
Ca Ti Tc P
1 1 1 2
Direct
0.0000 0.0000 0.0000
0.2500 0.7500 0.5000
0.7500 0.2500 0.5000
0.6185 0.6185 0.2370
0.3815 0.3815 0.7630
```

Computed properties:
Energy relative to the elements ... -441 kJ/mol of formula units
Space group ... I-4m2, No. 119

(9)
The following is a PBE calculation of an optimized crystal structure of Ca2TeP, from the Alexandria database.

The structure in POSCAR format:
```
Ca2TeP
1.0
-3.7327 3.9130 0.7869
-1.1800 -1.6704 5.0676
4.7004 1.7714 -2.1523
Ca P Te
2 1 1
Direct
0.9760 0.9760 0.0000
0.5240 0.5240 0.0000
0.7500 0.2500 0.5000
0.2500 0.7500 0.5000
```

Computed properties:
Space group ... Immm, No. 71
Total energy ... -4.116 eV per atom

(10)
The following is a PBE calculation of an optimized crystal structure of CaTeP2, from the Alexandria database.

The structure in POSCAR format:
```
CaTeP2
1.0
-3.9037 4.1934 -0.9498
-5.1957 -0.3897 2.5649
5.5889 -0.4062 1.5248
Ca P Te
1 2 1
Direct
0.7500 0.2500 0.5000
0.0000 0.0000 0.0000
0.5000 0.5000 0.0000
0.2500 0.7500 0.5000
```

Computed properties:
Space group ... I4/mmm, No. 139
Total energy ... -4.033 eV per atom

(11)
The following is a PBE calculation of an optimized crystal structure of Ca2TeP, from the Alexandria database.

The structure in POSCAR format:
```
Ca2TeP
1.0
-0.0615 7.4706 -3.5087
-5.1508 6.1245 -2.0211
3.4533 -5.5455 5.0444
Ca P Te
2 1 1
Direct
0.9704 0.9704 0.0000
0.6880 0.1880 0.5000
0.5419 0.5419 0.0000
0.2997 0.7997 0.5000
```

Computed properties:
Space group ... Imm2, No. 44
Total energy ... -4.192 eV per atom

(12)
The following is a PBE calculation of an optimized crystal structure of Ca2TeP, from the Alexandria database.

The structure in POSCAR format:
```
Ca2TeP
1.0
3.6149 0.2715 0.0000
-0.3680 3.6064 0.0000
0.0000 0.0000 7.8727
Ca P Te
2 1 1
Direct
0.0000 0.0000 0.0335
0.0000 0.0000 0.4665
0.5000 0.5000 0.2500
0.5000 0.5000 0.7500
```

Computed properties:
Space group ... Cmmm, No. 65
Total energy ... -4.139 eV per atom